5
Lattice="-0.962 1.722 -5.885 3.828 -4.485 -1.938 -4.797 -3.936 -0.368" Properties=species:S:1:pos:R:3 comment="SrLaTeI2 GGA-PBE optimized geometry" raw_formation_energy_mev_per_atom=-1079 m_tot_mub_per_atom=0.00 sg="P4/mmm (123)" rho_g_cm3=4.2 pbc="T T T"
I 1.914 -2.242 -0.969
Sr -0.965 -3.350 -4.095
Te -2.399 -1.968 -0.184
I -0.481 0.861 -2.943
La 0.000 0.000 0.000